Run 1
{
  "formula": "Pm3AgPt",
  "functional": "PBE",
  "state": "relaxed",
  "space_group": "C2/c",
  "total_magnetization_mub_per_cell": 0.00,
  "lattice": [[7.840, -5.407, 0.000], [7.840, 5.407, 0.000], [-1.403, 0.000, 6.786]],
  "species": ["Pm", "Pm", "Pm", "Pm", "Pm", "Pm", "Pm", "Pm", "Pm", "Pm", "Pm", "Pm", "Ag", "Ag", "Ag", "Ag", "Pt", "Pt", "Pt", "Pt"],
  "fractional_positions": [[0.019, 0.166, 0.429], [0.112, 0.623, 0.990], [0.166, 0.019, 0.929], [0.224, 0.428, 0.450], [0.377, 0.888, 0.510], [0.428, 0.224, 0.950], [0.572, 0.776, 0.050], [0.623, 0.112, 0.490], [0.776, 0.572, 0.550], [0.834, 0.981, 0.071], [0.888, 0.377, 0.010], [0.981, 0.834, 0.571], [0.325, 0.675, 0.750], [0.422, 0.578, 0.250], [0.578, 0.422, 0.750], [0.675, 0.325, 0.250], [0.112, 0.337, 0.764], [0.337, 0.112, 0.264], [0.663, 0.888, 0.736], [0.888, 0.663, 0.236]]
}



Run 2
{
  "formula": "Pm3AgPt",
  "functional": "PBE",
  "state": "relaxed",
  "space_group": "P2_1/c",
  "total_magnetization_mub_per_cell": 0.00,
  "lattice": [[9.239, 0.000, 0.000], [0.000, 7.667, 0.000], [-2.318, 0.000, 8.042]],
  "species": ["Pm", "Pm", "Pm", "Pm", "Pm", "Pm", "Pm", "Pm", "Pm", "Pm", "Pm", "Pm", "Ag", "Ag", "Ag", "Ag", "Pt", "Pt", "Pt", "Pt"],
  "fractional_positions": [[0.078, 0.008, 0.218], [0.078, 0.492, 0.718], [0.309, 0.149, 0.620], [0.309, 0.351, 0.120], [0.362, 0.682, 0.501], [0.362, 0.818, 0.001], [0.638, 0.182, 0.999], [0.638, 0.318, 0.499], [0.691, 0.649, 0.880], [0.691, 0.851, 0.380], [0.922, 0.508, 0.282], [0.922, 0.992, 0.782], [0.056, 0.676, 0.030], [0.056, 0.824, 0.530], [0.944, 0.176, 0.470], [0.944, 0.324, 0.970], [0.408, 0.037, 0.318], [0.408, 0.463, 0.818], [0.592, 0.537, 0.182], [0.592, 0.963, 0.682]]
}



Most favorable structure: run 2. The second most favorable one is 66 meV per atom above it.



Run 1
{
  "formula": "Pm8AgPt2",
  "functional": "PBE",
  "state": "relaxed",
  "space_group": "Cm",
  "total_magnetization_mub_per_cell": 0.00,
  "lattice": [[4.340, -6.820, 0.000], [4.340, 6.820, 0.000], [-1.598, 0.000, 5.570]],
  "species": ["Pm", "Pm", "Pm", "Pm", "Pm", "Pm", "Pm", "Pm", "Ag", "Pt", "Pt"],
  "fractional_positions": [[0.000, 0.000, 0.000], [0.052, 0.300, 0.604], [0.145, 0.622, 0.187], [0.300, 0.052, 0.604], [0.467, 0.715, 0.770], [0.622, 0.145, 0.187], [0.715, 0.467, 0.770], [0.767, 0.767, 0.373], [0.384, 0.384, 0.182], [0.084, 0.683, 0.687], [0.683, 0.084, 0.687]]
}



Run 2
{
  "formula": "Pm8AgPt2",
  "functional": "PBE",
  "state": "relaxed",
  "space_group": "C2/m",
  "total_magnetization_mub_per_cell": 0.00,
  "lattice": [[9.407, -2.593, 0.000], [9.407, 2.593, 0.000], [-2.259, 0.000, 6.529]],
  "species": ["Pm", "Pm", "Pm", "Pm", "Pm", "Pm", "Pm", "Pm", "Ag", "Pt", "Pt"],
  "fractional_positions": [[0.029, 0.029, 0.281], [0.201, 0.201, 0.847], [0.323, 0.323, 0.496], [0.405, 0.405, 0.020], [0.595, 0.595, 0.980], [0.677, 0.677, 0.504], [0.799, 0.799, 0.153], [0.971, 0.971, 0.719], [0.500, 0.500, 0.500], [0.170, 0.170, 0.236], [0.830, 0.830, 0.764]]
}



Most favorable structure: run 2. The second most favorable one is 92 meV per atom above it.



Run 1
{
  "formula": "Pm4Ag3Pt",
  "functional": "PBE",
  "state": "relaxed",
  "space_group": "P4/mmm",
  "total_magnetization_mub_per_cell": 0.00,
  "lattice": [[3.688, 0.000, 0.000], [0.000, 3.688, 0.000], [0.000, 0.000, 14.821]],
  "species": ["Pm", "Pm", "Pm", "Pm", "Ag", "Ag", "Ag", "Pt"],
  "fractional_positions": [[0.000, 0.000, 0.114], [0.000, 0.000, 0.372], [0.000, 0.000, 0.628], [0.000, 0.000, 0.886], [0.500, 0.500, 0.247], [0.500, 0.500, 0.500], [0.500, 0.500, 0.753], [0.500, 0.500, 0.000]]
}



Run 2
{
  "formula": "Pm4Ag3Pt",
  "functional": "PBE",
  "state": "relaxed",
  "space_group": "Pmm2",
  "total_magnetization_mub_per_cell": 0.00,
  "lattice": [[3.893, 0.000, 0.000], [0.000, 4.818, 0.000], [0.000, 0.000, 11.108]],
  "species": ["Pm", "Pm", "Pm", "Pm", "Ag", "Ag", "Ag", "Pt"],
  "fractional_positions": [[0.000, 0.000, 0.000], [0.000, 0.500, 0.264], [0.500, 0.000, 0.474], [0.500, 0.500, 0.769], [0.000, 0.000, 0.704], [0.000, 0.500, 0.546], [0.500, 0.500, 0.046], [0.500, 0.000, 0.210]]
}



Most favorable structure: run 2. The second most favorable one is 13 meV per atom above it.



Run 1
{
  "formula": "PmSmAgPt",
  "functional": "PBE",
  "state": "relaxed",
  "space_group": "F-43m",
  "total_magnetization_mub_per_cell": 0.00,
  "lattice": [[0.000, 3.637, 3.637], [3.637, 0.000, 3.637], [3.637, 3.637, 0.000]],
  "species": ["Pm", "Sm", "Ag", "Pt"],
  "fractional_positions": [[0.000, 0.000, 0.000], [0.500, 0.500, 0.500], [0.250, 0.250, 0.250], [0.750, 0.750, 0.750]]
}



Run 2
{
  "formula": "PmSmAgPt",
  "functional": "PBE",
  "state": "relaxed",
  "space_group": "Amm2",
  "total_magnetization_mub_per_cell": 0.00,
  "lattice": [[4.700, 0.000, 0.000], [0.000, 1.948, 5.465], [0.000, -1.948, 5.465]],
  "species": ["Pm", "Sm", "Ag", "Pt"],
  "fractional_positions": [[0.000, 0.000, 0.000], [0.500, 0.724, 0.724], [0.000, 0.280, 0.280], [0.500, 0.447, 0.447]]
}



Most favorable structure: run 2. The second most favorable one is 27 meV per atom above it.